The following is a PBE-GGA calculation of crystalline MgBSb at its relaxed geometry, from Alexandria via LeMat-Bulk.

a = 3.2036 Å, b = 3.8192 Å, c = 9.1571 Å
α = 78.11°, β = 89.87°, γ = 89.99°
With the nearest neighbours (Å) after each atom.
Space group P-1 (No. 2)
Symmetry-distinct sites (fractional):
Mg: 0.2490 0.4297 0.1428  6 B 2.51-2.66
B: 0.2503 0.0197 0.9606  2 B 1.75
Sb: 0.2523 0.1600 0.6763  1 B 2.55

Magnetization (μB per formula unit): 0.0
Formation energy (no corrections) (eV per atom): 0.01
Distance to the lowest polymorph of the same formula (eV per atom): 0.001

---

The following is a PBE-GGA calculation of crystalline MgB2Sb at its relaxed geometry, from Alexandria via LeMat-Bulk.

a = 5.6984 Å, b = 5.6984 Å, c = 9.3391 Å
α = 90.00°, β = 90.00°, γ = 90.00°
With the nearest neighbours (Å) after each atom.
Space group I-42d (No. 122)
Symmetry-distinct sites (fractional):
Mg: 0.0000 0.0000 0.0000  4 B 2.41
B: 0.2283 0.2500 0.6250  2 Sb 2.25, 2 Mg 2.41
Sb: 0.0000 0.0000 0.5000  4 B 2.25

Magnetization (μB per formula unit): 0.0
Formation energy (no corrections) (eV per atom): 1.01
Distance to the lowest polymorph of the same formula (eV per atom): 0.000